# 1
# In3TeS2 | Alexandria | PBE | optimized geometry
data_In3TeS2
_chemical_formula_sum 'In6 Te2 S4'
_space_group_name_H-M_alt 'I m m 2'
_space_group_IT_number 44
_space_group_name_Hall 'I 2 -2'
_cell_length_a 4.376
_cell_length_b 11.748
_cell_length_c 7.435
_cell_angle_alpha 90.00
_cell_angle_beta 90.00
_cell_angle_gamma 90.00
loop_
_atom_site_label
_atom_site_type_symbol
_atom_site_fract_x
_atom_site_fract_y
_atom_site_fract_z
In1 In 0.000 0.000 0.000
In2 In 0.000 0.360 0.124
Te1 Te 0.000 0.500 0.733
S1 S 0.000 0.191 0.845
# formation energy without anion corrections: -0.27 eV per atom
# calculated total energy: -42.41 eV per cell

=====

# 2
# SrEuMgCd | Alexandria | PBE | optimized geometry
data_SrEuMgCd
_chemical_formula_sum 'Sr4 Eu4 Mg4 Cd4'
_space_group_name_H-M_alt 'F -4 3 m'
_space_group_IT_number 216
_space_group_name_Hall 'F -4 2 3'
_cell_length_a 8.087
_cell_length_b 8.087
_cell_length_c 8.087
_cell_angle_alpha 90.00
_cell_angle_beta 90.00
_cell_angle_gamma 90.00
loop_
_atom_site_label
_atom_site_type_symbol
_atom_site_fract_x
_atom_site_fract_y
_atom_site_fract_z
Sr1 Sr 0.000 0.000 0.000
Eu1 Eu 0.000 0.000 0.500
Mg1 Mg 0.250 0.250 0.250
Cd1 Cd 0.250 0.250 0.750
# ΔH_f (0 K): -0.77 eV per formula unit
# calculated total energy: -60.95 eV per cell

=====

# 3
# Cr2CoSe | Alexandria | PBE | optimized geometry
data_Cr2CoSe
_chemical_formula_sum 'Cr6 Co3 Se3'
_space_group_name_H-M_alt 'R 3 m'
_space_group_IT_number 160
_space_group_name_Hall 'R 3 -2"'
_cell_length_a 2.8557
_cell_length_b 2.8557
_cell_length_c 22.3548
_cell_angle_alpha 90.00
_cell_angle_beta 90.00
_cell_angle_gamma 120.00
loop_
_atom_site_label
_atom_site_type_symbol
_atom_site_fract_x
_atom_site_fract_y
_atom_site_fract_z
Cr1 Cr 0.0000 0.0000 0.0000
Cr2 Cr 0.0000 0.0000 0.2594
Co1 Co 0.0000 0.0000 0.5097
Se1 Se 0.0000 0.0000 0.7556
# formation energy without anion corrections: 0.36 eV per atom
# calculated total energy: -85.14 eV per cell

=====

# 4
# DyTm3Ru | Alexandria | PBE | optimized geometry
data_DyTm3Ru
_chemical_formula_sum 'Dy1 Tm3 Ru1'
_space_group_name_H-M_alt 'P m -3 m'
_space_group_IT_number 221
_space_group_name_Hall '-P 4 2 3'
_cell_length_a 5.313
_cell_length_b 5.313
_cell_length_c 5.313
_cell_angle_alpha 90.00
_cell_angle_beta 90.00
_cell_angle_gamma 90.00
loop_
_atom_site_label
_atom_site_type_symbol
_atom_site_fract_x
_atom_site_fract_y
_atom_site_fract_z
Dy1 Dy 0.000 0.000 0.000
Tm1 Tm 0.000 0.500 0.500
Ru1 Ru 0.500 0.500 0.500
# ΔH_f (0 K): -0.45 eV per formula unit
# calculated total energy: -27.74 eV per cell
# ΔE to the lowest computed polymorph: 132.8 meV/atom

=====

# 5
# HoSc5Sn6 | Alexandria | PBE | optimized geometry
data_HoSc5Sn6
_chemical_formula_sum 'Ho2 Sc10 Sn12'
_space_group_name_H-M_alt 'C 1 2/m 1'
_space_group_IT_number 12
_space_group_name_Hall '-C 2y'
_cell_length_a 5.406
_cell_length_b 13.300
_cell_length_c 8.298
_cell_angle_alpha 90.00
_cell_angle_beta 101.98
_cell_angle_gamma 90.00
loop_
_atom_site_label
_atom_site_type_symbol
_atom_site_fract_x
_atom_site_fract_y
_atom_site_fract_z
Ho1 Ho 0.000 0.000 0.000
Sc1 Sc 0.000 0.000 0.500
Sc2 Sc 0.000 0.329 0.000
Sc3 Sc 0.000 0.338 0.500
Sn1 Sn 0.005 0.170 0.743
Sn2 Sn 0.018 0.500 0.248
# ΔH_f (0 K): -6.69 eV per formula unit
# calculated total energy: -133.88 eV per cell

=====

# 6
# K2Ge2P | Alexandria | PBE | optimized geometry
data_K2Ge2P
_chemical_formula_sum 'K4 Ge4 P2'
_space_group_name_H-M_alt 'P 4/m b m'
_space_group_IT_number 127
_space_group_name_Hall '-P 4 2ab'
_cell_length_a 6.916
_cell_length_b 6.916
_cell_length_c 5.514
_cell_angle_alpha 90.00
_cell_angle_beta 90.00
_cell_angle_gamma 90.00
loop_
_atom_site_label
_atom_site_type_symbol
_atom_site_fract_x
_atom_site_fract_y
_atom_site_fract_z
K1 K 0.185 0.315 0.000
Ge1 Ge 0.132 0.632 0.500
P1 P 0.000 0.000 0.500
# ΔH_f (0 K): 0.22 eV per formula unit
# calculated total energy: -33.24 eV per cell

=====

# 7
# LuMg4Sc | Alexandria | PBE | optimized geometry
data_LuMg4Sc
_chemical_formula_sum 'Lu4 Mg16 Sc4'
_space_group_name_H-M_alt 'F -4 3 m'
_space_group_IT_number 216
_space_group_name_Hall 'F -4 2 3'
_cell_length_a 8.341
_cell_length_b 8.341
_cell_length_c 8.341
_cell_angle_alpha 90.00
_cell_angle_beta 90.00
_cell_angle_gamma 90.00
loop_
_atom_site_label
_atom_site_type_symbol
_atom_site_fract_x
_atom_site_fract_y
_atom_site_fract_z
Lu1 Lu 0.000 0.000 0.000
Mg1 Mg 0.125 0.125 0.625
Sc1 Sc 0.250 0.250 0.250
# ΔH_f (0 K): -0.04 eV per formula unit
# calculated total energy: -69.10 eV per cell

=====

# 8
# La2MgBe | Alexandria | PBE | optimized geometry
data_La2MgBe
_chemical_formula_sum 'La2 Mg1 Be1'
_space_group_name_H-M_alt 'P m m 2'
_space_group_IT_number 25
_space_group_name_Hall 'P 2 -2'
_cell_length_a 3.417
_cell_length_b 4.531
_cell_length_c 6.754
_cell_angle_alpha 90.00
_cell_angle_beta 90.00
_cell_angle_gamma 90.00
loop_
_atom_site_label
_atom_site_type_symbol
_atom_site_fract_x
_atom_site_fract_y
_atom_site_fract_z
La1 La 0.000 0.000 0.000
La2 La 0.500 0.500 0.295
Mg1 Mg 0.000 0.000 0.550
Be1 Be 0.500 0.500 0.780
# ΔH_f (0 K): 1.28 eV per formula unit
# calculated total energy: -13.89 eV per cell
# ΔE to the lowest computed polymorph: 279.1 meV/atom

=====

What is the calculated total energy in the second record? -60.95 eV per cell

=====

Among the records above, which one has the highest calculated total energy? La2MgBe

=====

calculated total energy of number 4 (DyTm3Ru)? -27.74 eV per cell

=====

Which formula does entry 4 have? DyTm3Ru